[1]
Below is a geometry-optimized Cs2KAgBr5 structure, with properties calculated at the PBE level.

* spin magnetization: 0.000 μB/f.u.
* formation energy without anion corrections: -1239 meV/atom
* total DFT energy (no corrections): -0.10278 hartree per atom

Cell lengths 5.0681, 19.2536, 15.1862 Å; angles 90.00, 90.00, 90.00 degrees
Space group Cmc2_1 (No. 36)
Inequivalent atoms, fractional coordinates:
Cs (0.0000, 0.0934, 0.0000) [4 per cell]
Cs (0.0000, 0.1540, 0.6243) [4 per cell]
K (0.0000, 0.1963, 0.3374) [4 per cell]
Ag (0.0000, 0.4863, 0.7428) [4 per cell]
Br (0.0000, 0.0278, 0.3088) [4 per cell]
Br (0.0000, 0.2748, 0.9697) [4 per cell]
Br (0.0000, 0.3544, 0.6962) [4 per cell]
Br (0.0000, 0.3851, 0.3032) [4 per cell]
Br (0.0000, 0.4719, 0.0689) [4 per cell]


[2]
Below is a geometry-optimized Cs2KAg2Br7 structure, with properties calculated at the PBE level.

* spin magnetization: 0.000 μB/f.u.
* formation energy without anion corrections: -1027 meV/atom
* total DFT energy (no corrections): -0.09967 hartree per atom

Cell lengths 5.4845, 5.4845, 28.3024 Å; angles 90.00, 90.00, 90.00 degrees
Space group I4/mmm (No. 139)
Inequivalent atoms, fractional coordinates:
Cs (0.0000, 0.0000, 0.1784) [4 per cell]
K (0.0000, 0.0000, 0.0000) [2 per cell]
Ag (0.0000, 0.0000, 0.4050) [4 per cell]
Br (0.0000, 0.0000, 0.3091) [4 per cell]
Br (0.0000, 0.0000, 0.5000) [2 per cell]
Br (0.0000, 0.5000, 0.0875) [8 per cell]